Compound: ErTmSi2
Source: Alexandria via LeMat-Bulk
Functional: PBE-GGA
Structure: relaxed Values from VASP.

```
&SYSTEM
  ibrav = 0, nat = 4, ntyp = 3
/
ATOMIC_SPECIES
Er 167.26 Er.upf
Si 28.09 Si.upf
Tm 168.93 Tm.upf
ATOMIC_POSITIONS crystal
Er 0.5000 0.5000 0.5000
Si 0.2510 0.2510 0.2471
Si 0.7490 0.7490 0.7529
Tm 0.0000 0.0000 0.0000
CELL_PARAMETERS angstrom
4.5282 0.0000 0.0000
2.2641 3.9215 0.0000
2.2641 1.3072 5.0047
```

Values from the calculation:
Energy (hartree per atom): -0.202
Crystal system: trigonal
Space group: R-3m, No. 166
ΔE to the lowest computed polymorph (meV per atom): 303


Compound: ErTmZnSi
Source: Alexandria via LeMat-Bulk
Functional: PBE-GGA
Structure: relaxed Values from VASP.

```
&SYSTEM
  ibrav = 0, nat = 4, ntyp = 4
/
ATOMIC_SPECIES
Er 167.26 Er.upf
Zn 65.41 Zn.upf
Tm 168.93 Tm.upf
Si 28.09 Si.upf
ATOMIC_POSITIONS crystal
Er 0.5000 0.5000 0.5000
Zn 0.2500 0.2500 0.2500
Tm 0.0000 0.0000 0.0000
Si 0.7500 0.7500 0.7500
CELL_PARAMETERS angstrom
-0.8404 3.7502 3.0625
-3.9775 -0.0283 2.8859
0.4870 -0.6310 4.8491
```

Values from the calculation:
Energy (hartree per atom): -0.161
Crystal system: cubic
Space group: F-43m, No. 216
ΔE to the lowest computed polymorph (meV per atom): 123


Compound: ErTmZnSi
Source: Alexandria via LeMat-Bulk
Functional: PBE-GGA
Structure: relaxed Values from VASP.

```
&SYSTEM
  ibrav = 0, nat = 4, ntyp = 4
/
ATOMIC_SPECIES
Si 28.09 Si.upf
Er 167.26 Er.upf
Zn 65.41 Zn.upf
Tm 168.93 Tm.upf
ATOMIC_POSITIONS crystal
Si 0.4254 0.0000 0.8508
Er 0.1431 0.0000 0.2861
Zn 0.5723 0.5000 0.1446
Tm 0.8592 0.5000 0.7185
CELL_PARAMETERS angstrom
4.1281 0.0000 0.0000
0.0000 4.0221 0.0000
-2.0641 0.0000 5.3268
```

Values from the calculation:
Energy (hartree per atom): -0.166
Crystal system: orthorhombic
Space group: Amm2, No. 38
ΔE to the lowest computed polymorph (meV per atom): 0


Compound: ErUSi
Source: Alexandria via LeMat-Bulk
Functional: PBE-GGA
Structure: relaxed Values from VASP.

```
&SYSTEM
  ibrav = 0, nat = 6, ntyp = 3
/
ATOMIC_SPECIES
U 238.03 U.upf
Si 28.09 Si.upf
Er 167.26 Er.upf
ATOMIC_POSITIONS crystal
U 0.0000 0.0937 0.9063
Si 0.8068 0.6932 0.6932
Er 0.5000 0.3386 0.6614
U 0.0000 0.9063 0.0937
Si 0.1932 0.3068 0.3068
Er 0.5000 0.6614 0.3386
CELL_PARAMETERS angstrom
-0.9085 -2.1684 -2.5621
4.8129 1.6240 -5.4410
-0.0283 -6.6729 3.2980
```

Values from the calculation:
Energy (hartree per atom): -0.261
Crystal system: orthorhombic
Space group: Immm, No. 71


Compound: Er2V3Si4
Source: Alexandria via LeMat-Bulk
Functional: PBE-GGA
Structure: relaxed Values from VASP.

```
&SYSTEM
  ibrav = 0, nat = 18, ntyp = 3
/
ATOMIC_SPECIES
V 50.94 V.upf
Er 167.26 Er.upf
Si 28.09 Si.upf
ATOMIC_POSITIONS crystal
V 0.7517 0.7416 0.3280
V 0.2483 0.2584 0.6720
Er 0.9392 0.8130 0.8318
Si 0.1290 0.9101 0.4560
V 0.0000 0.5000 0.5000
Si 0.6301 0.5005 0.6289
Er 0.4392 0.8130 0.6682
V 0.7483 0.2584 0.8280
Er 0.5608 0.1870 0.3318
V 0.2517 0.7416 0.1720
Si 0.1301 0.5005 0.8711
V 0.5000 0.5000 0.0000
Er 0.0608 0.1870 0.1682
Si 0.8699 0.4995 0.1289
Si 0.6290 0.9101 0.0440
Si 0.3710 0.0899 0.9560
Si 0.8710 0.0899 0.5440
Si 0.3699 0.4995 0.3711
CELL_PARAMETERS angstrom
6.6696 -0.0245 0.0000
-2.2155 6.4216 0.0000
0.0000 0.0000 6.7886
```

Values from the calculation:
Energy (hartree per atom): -0.263
Crystal system: monoclinic
Space group: P2_1/c, No. 14


Compound: YErSi4
Source: Alexandria via LeMat-Bulk
Functional: PBE-GGA
Structure: relaxed Values from VASP.

```
&SYSTEM
  ibrav = 0, nat = 24, ntyp = 3
/
ATOMIC_SPECIES
Si 28.09 Si.upf
Er 167.26 Er.upf
Y 88.91 Y.upf
ATOMIC_POSITIONS crystal
Si 0.5000 0.1845 0.8166
Si 0.5000 0.5976 0.9370
Si 0.5000 0.8155 0.1834
Er 0.0000 0.3537 0.9155
Si 0.5000 0.4591 0.7847
Si 0.5000 0.6845 0.6834
Er 0.0000 0.1463 0.4155
Y 0.0000 0.9531 0.8676
Er 0.0000 0.6463 0.0845
Y 0.0000 0.4531 0.6324
Si 0.5000 0.9591 0.7153
Si 0.5000 0.1401 0.9911
Si 0.5000 0.3599 0.4911
Er 0.0000 0.8537 0.5845
Si 0.5000 0.8599 0.0089
Y 0.0000 0.5469 0.3676
Si 0.5000 0.9024 0.4370
Si 0.5000 0.0976 0.5630
Si 0.5000 0.5409 0.2153
Y 0.0000 0.0469 0.1324
Si 0.5000 0.4024 0.0630
Si 0.5000 0.0409 0.2847
Si 0.5000 0.3155 0.3166
Si 0.5000 0.6401 0.5089
CELL_PARAMETERS angstrom
4.2133 0.0000 0.0000
0.0000 8.8069 0.0000
0.0000 0.0000 13.6088
```

Values from the calculation:
Energy (hartree per atom): -0.215
Crystal system: orthorhombic
Space group: Pbam, No. 55


Compound: YErSi3
Source: Alexandria via LeMat-Bulk
Functional: PBE-GGA
Structure: relaxed Values from VASP.

```
&SYSTEM
  ibrav = 0, nat = 10, ntyp = 3
/
ATOMIC_SPECIES
Y 88.91 Y.upf
Si 28.09 Si.upf
Er 167.26 Er.upf
ATOMIC_POSITIONS crystal
Y 0.2500 0.0700 0.1400
Si 0.7500 0.5252 0.0504
Si 0.7500 0.3213 0.6427
Er 0.2500 0.7970 0.5940
Si 0.2500 0.4748 0.9496
Si 0.2500 0.3801 0.7602
Si 0.7500 0.6199 0.2398
Er 0.7500 0.2030 0.4060
Y 0.7500 0.9300 0.8600
Si 0.2500 0.6787 0.3573
CELL_PARAMETERS angstrom
-2.3324 1.5013 -2.7853
2.8082 -0.9367 -2.8565
-6.6257 -10.4974 -0.1098
```

Values from the calculation:
Energy (hartree per atom): -0.225
Crystal system: orthorhombic
Space group: Cmcm, No. 63


Compound: Y2ErSi2
Source: Alexandria via LeMat-Bulk
Functional: PBE-GGA
Structure: relaxed Values from VASP.

```
&SYSTEM
  ibrav = 0, nat = 10, ntyp = 3
/
ATOMIC_SPECIES
Si 28.09 Si.upf
Y 88.91 Y.upf
Er 167.26 Er.upf
ATOMIC_POSITIONS crystal
Si 0.0000 0.3828 0.8828
Si 0.0000 0.6172 0.1172
Y 0.5000 0.8242 0.3242
Si 0.0000 0.1172 0.3828
Er 0.0000 0.0000 0.0000
Er 0.0000 0.5000 0.5000
Y 0.5000 0.3242 0.1758
Y 0.5000 0.1758 0.6758
Y 0.5000 0.6758 0.8242
Si 0.0000 0.8828 0.6172
CELL_PARAMETERS angstrom
-1.4571 2.9673 -2.6345
-5.5362 1.5066 4.7590
4.2796 5.0908 3.3669
```

Values from the calculation:
Energy (hartree per atom): -0.235
Crystal system: tetragonal
Space group: P4/mbm, No. 127
ΔE to the lowest computed polymorph (meV per atom): 0


Number 1: formation energy without anion corrections -0.516 eV/atom. Number 2: formation energy without anion corrections -0.450 eV/atom. Number 3: formation energy without anion corrections -0.573 eV/atom. Number 4: formation energy without anion corrections -0.023 eV/atom. Number 5: formation energy without anion corrections -0.680 eV/atom. Number 6: formation energy without anion corrections -0.407 eV/atom. Number 7: formation energy without anion corrections -0.672 eV/atom. Number 8: formation energy without anion corrections -0.729 eV/atom.